Ce3Pu2Sc2 | GGA-PBE | relaxed

a b c (Å): 3.1503 5.2428 11.0972
angles (deg): 103.57 90.00 90.00
With the nearest neighbours (Å) after each atom.
Atoms (fractional coordinates):
Sc 0.5000 0.1400 0.2785  2 Sc 3.15, 4 Pu 3.36-3.37, 8 Ce 3.39-3.52
Sc 0.5000 0.8600 0.7215  2 Sc 3.15, 4 Pu 3.36-3.37, 8 Ce 3.39-3.52
Ce 0.0000 0.7205 0.4393  4 Ce 2.92-3.15, 1 Pu 3.14
Ce 0.0000 0.0000 0.0000  4 Pu 3.07-3.08, 2 Ce 3.15, 4 Sc 3.39
Ce 0.0000 0.2795 0.5607  4 Ce 2.92-3.15, 1 Pu 3.14
Pu 0.0000 0.4249 0.8515  3 Ce 3.07-3.14, 3 Pu 3.15-3.20, 4 Sc 3.36-3.37
Pu 0.0000 0.5751 0.1485  3 Ce 3.07-3.14, 3 Pu 3.15-3.20, 4 Sc 3.36-3.37

Summary:
Energy of formation from the pure elements ... 0.143 eV per atom
Magnetic moment ... 11.95 μB/f.u.
Total DFT energy (no corrections) ... -8.304 eV per atom
D(E_F) ... 3.075 states/eV per atom


CePuSc | GGA-PBE | relaxed

a b c (Å): 3.3684 3.3684 7.1762
angles (deg): 103.57 103.57 90.00
With the nearest neighbours (Å) after each atom.
Atoms (fractional coordinates):
Sc 0.0019 0.0019 0.0038  4 Pu 3.30, 4 Ce 3.36, 4 Sc 3.37
Ce 0.3270 0.3270 0.6541  4 Pu 3.18, 4 Sc 3.36, 4 Ce 3.37
Pu 0.6711 0.6711 0.3422  4 Ce 3.18, 4 Sc 3.30, 4 Pu 3.37

Summary:
Energy of formation from the pure elements ... 0.104 eV per atom
Magnetic moment ... 4.95 μB/f.u.
Total DFT energy (no corrections) ... -8.762 eV per atom
D(E_F) ... 2.162 states/eV per atom
Relative energy among the computed polymorphs ... 0.00 eV/f.u.


Ce14PuSc | GGA-PBE | relaxed

a b c (Å): 6.6486 6.6486 9.3796
angles (deg): 90.00 90.00 90.05
With the nearest neighbours (Å) after each atom.
Atoms (fractional coordinates):
Ce 0.6240 0.3760 0.2500  1 Sc 3.31, 10 Ce 3.31-3.33, 1 Pu 3.33
Ce 0.3750 0.1247 0.0000  8 Ce 3.31-3.32, 2 Sc 3.32-3.33, 2 Pu 3.32-3.33
Ce 0.1255 0.3757 0.2497  1 Sc 3.31, 10 Ce 3.31-3.33, 1 Pu 3.32
Ce 0.6243 0.8745 0.7503  1 Sc 3.31, 10 Ce 3.31-3.33, 1 Pu 3.32
Ce 0.1258 0.8742 0.2493  10 Ce 3.31-3.33, 1 Sc 3.32, 1 Pu 3.32
Ce 0.3751 0.1250 0.5000  12 Ce 3.32-3.33
Ce 0.6243 0.8745 0.2497  1 Sc 3.31, 10 Ce 3.31-3.33, 1 Pu 3.32
Ce 0.6240 0.3760 0.7500  1 Sc 3.31, 10 Ce 3.31-3.33, 1 Pu 3.33
Ce 0.1258 0.8742 0.7507  10 Ce 3.31-3.33, 1 Sc 3.32, 1 Pu 3.32
Ce 0.8753 0.6250 0.0000  8 Ce 3.31-3.32, 2 Sc 3.32-3.33, 2 Pu 3.32-3.33
Ce 0.3746 0.6254 0.5000  12 Ce 3.32-3.33
Ce 0.8754 0.1246 0.5000  12 Ce 3.32-3.33
Ce 0.1255 0.3757 0.7503  1 Sc 3.31, 10 Ce 3.31-3.33, 1 Pu 3.32
Ce 0.8750 0.6249 0.5000  12 Ce 3.32-3.33
Sc 0.3756 0.6244 0.0000  12 Ce 3.31-3.33
Pu 0.8747 0.1253 0.0000  12 Ce 3.32-3.33

Summary:
Energy of formation from the pure elements ... 0.029 eV per atom
Magnetic moment ... 3.81 μB/f.u.
Total DFT energy (no corrections) ... -6.454 eV per atom
D(E_F) ... 2.267 states/eV per atom


Ce3Pu2ScSe6 | GGA-PBE | relaxed

a b c (Å): 4.1185 8.3000 9.2325
angles (deg): 102.99 102.89 90.00
With the nearest neighbours (Å) after each atom.
Atoms (fractional coordinates):
Se 0.3307 0.4194 0.6615  3 Pu 2.90-2.91, 3 Ce 2.96
Se 0.6693 0.5806 0.3385  3 Pu 2.90-2.91, 3 Ce 2.96
Se 0.6591 0.0845 0.3183  1 Sc 2.79, 2 Pu 2.90, 3 Ce 2.95-3.01
Se 0.0010 0.7678 0.0021  2 Sc 2.82, 1 Pu 2.90, 3 Ce 2.95-3.03
Se 0.9990 0.2322 0.9979  2 Sc 2.82, 1 Pu 2.90, 3 Ce 2.95-3.03
Se 0.3409 0.9155 0.6817  1 Sc 2.79, 2 Pu 2.90, 3 Ce 2.95-3.01
Ce 0.8308 0.1635 0.6616  6 Se 2.95-3.01
Ce 0.5000 0.5000 0.0000  6 Se 2.96-3.03
Ce 0.1692 0.8365 0.3384  6 Se 2.95-3.01
Pu 0.1644 0.3322 0.3287  6 Se 2.90-2.91
Pu 0.8356 0.6678 0.6713  6 Se 2.90-2.91
Sc 0.5000 0.0000 0.0000  6 Se 2.79-2.82

Summary:
Magnetic moment ... 14.57 μB/f.u.
Total DFT energy (no corrections) ... -7.819 eV per atom
D(E_F) ... 2.664 states/eV per atom
Formation energy without anion corrections ... -1677 meV/atom


Ce4PuSc3Se8 | GGA-PBE | relaxed

a b c (Å): 8.1136 8.1800 8.1139
angles (deg): 119.73 120.00 90.00
With the nearest neighbours (Å) after each atom.
Atoms (fractional coordinates):
Sc 0.5000 0.5000 0.0000  6 Se 2.78
Sc 0.0000 0.5000 0.5000  6 Se 2.78
Sc 0.5000 0.5000 0.5000  6 Se 2.78
Se 0.7339 0.7301 0.9820  2 Sc 2.78, 1 Pu 2.86, 3 Ce 2.91-2.99
Se 0.2661 0.2699 0.0180  2 Sc 2.78, 1 Pu 2.86, 3 Ce 2.91-2.99
Se 0.2586 0.2759 0.5173  3 Sc 2.78, 3 Ce 2.98-2.99
Se 0.2481 0.7301 0.4962  2 Sc 2.78, 1 Pu 2.86, 3 Ce 2.91-2.99
Se 0.7519 0.2699 0.5038  2 Sc 2.78, 1 Pu 2.86, 3 Ce 2.91-2.99
Se 0.7519 0.2699 0.0180  2 Sc 2.78, 1 Pu 2.86, 3 Ce 2.91-2.99
Se 0.7414 0.7241 0.4827  3 Sc 2.78, 3 Ce 2.98-2.99
Se 0.2481 0.7301 0.9820  2 Sc 2.78, 1 Pu 2.86, 3 Ce 2.91-2.99
Ce 0.0000 0.0000 0.5000  6 Se 2.98-2.99
Ce 0.0000 0.0000 0.0000  6 Se 2.99
Ce 0.5000 0.0000 0.0000  6 Se 2.91
Ce 0.5000 0.0000 0.5000  6 Se 2.98-2.99
Pu 0.0000 0.5000 0.0000  6 Se 2.86

Summary:
Magnetic moment ... 9.61 μB/f.u.
Total DFT energy (no corrections) ... -6.997 eV per atom
D(E_F) ... 1.958 states/eV per atom
Formation energy without anion corrections ... -1688 meV/atom


CePu2ScSe4 | GGA-PBE | relaxed

a b c (Å): 4.0839 7.1220 7.0912
angles (deg): 109.19 90.00 90.00
With the nearest neighbours (Å) after each atom.
Atoms (fractional coordinates):
Sc 0.0000 0.0000 0.0000  6 Se 2.82
Ce 0.5000 0.5000 0.0000  6 Se 2.92-2.93
Se 0.0000 0.2388 0.7524  1 Sc 2.82, 3 Pu 2.87-2.98, 2 Ce 2.93
Se 0.5000 0.2349 0.2386  2 Sc 2.82, 3 Pu 2.88-2.98, 1 Ce 2.92
Se 0.5000 0.7651 0.7614  2 Sc 2.82, 3 Pu 2.88-2.98, 1 Ce 2.92
Se 0.0000 0.7612 0.2476  1 Sc 2.82, 3 Pu 2.87-2.98, 2 Ce 2.93
Pu 0.0000 0.5000 0.5000  6 Se 2.98
Pu 0.5000 0.0000 0.5000  6 Se 2.87-2.88

Summary:
Magnetic moment ... 12.56 μB/f.u.
Total DFT energy (no corrections) ... -8.466 eV per atom
D(E_F) ... 2.578 states/eV per atom
Formation energy without anion corrections ... -1608 meV/atom


Ce2Pu3ScSe6 | GGA-PBE | relaxed

a b c (Å): 4.1015 8.2683 9.2001
angles (deg): 103.13 102.88 90.00
With the nearest neighbours (Å) after each atom.
Atoms (fractional coordinates):
Se 0.0027 0.7645 0.0054  2 Sc 2.84, 3 Pu 2.91-2.99, 1 Ce 2.94
Se 0.6655 0.5873 0.3311  3 Pu 2.89, 3 Ce 2.94-2.95
Se 0.3345 0.4127 0.6689  3 Pu 2.89, 3 Ce 2.94-2.95
Se 0.3393 0.9236 0.6786  1 Sc 2.80, 3 Pu 2.89-2.96, 2 Ce 2.94
Se 0.6607 0.0764 0.3214  1 Sc 2.80, 3 Pu 2.89-2.96, 2 Ce 2.94
Se 0.9973 0.2355 0.9946  2 Sc 2.84, 3 Pu 2.91-2.99, 1 Ce 2.94
Pu 0.8306 0.1654 0.6613  6 Se 2.89-2.96
Pu 0.5000 0.5000 0.0000  6 Se 2.89-2.99
Pu 0.1694 0.8346 0.3387  6 Se 2.89-2.96
Ce 0.1655 0.3327 0.3310  6 Se 2.94-2.95
Ce 0.8345 0.6673 0.6690  6 Se 2.94-2.95
Sc 0.5000 0.0000 0.0000  6 Se 2.80-2.84

Summary:
Magnetic moment ... 17.15 μB/f.u.
Total DFT energy (no corrections) ... -8.466 eV per atom
D(E_F) ... 2.601 states/eV per atom
Formation energy without anion corrections ... -1624 meV/atom


Ce3PuSc2Se6 | GGA-PBE | relaxed

a b c (Å): 7.0516 7.0516 7.1112
angles (deg): 99.54 99.54 120.02
With the nearest neighbours (Å) after each atom.
Atoms (fractional coordinates):
Sc 0.6679 0.3321 0.0000  6 Se 2.78-2.79
Sc 0.3321 0.6679 0.0000  6 Se 2.78-2.79
Ce 0.8380 0.1620 0.5000  6 Se 2.93-2.99
Ce 0.1620 0.8380 0.5000  6 Se 2.93-2.99
Ce 0.5000 0.5000 0.5000  6 Se 2.92-2.99
Se 0.5780 0.9224 0.7676  2 Sc 2.78-2.79, 1 Pu 2.89, 3 Ce 2.93-2.99
Se 0.9224 0.5780 0.7676  2 Sc 2.78-2.79, 1 Pu 2.89, 3 Ce 2.93-2.99
Se 0.4220 0.0776 0.2324  2 Sc 2.78-2.79, 1 Pu 2.89, 3 Ce 2.93-2.99
Se 0.2698 0.2698 0.7736  2 Sc 2.78, 1 Pu 2.87, 3 Ce 2.92-2.98
Se 0.0776 0.4220 0.2324  2 Sc 2.78-2.79, 1 Pu 2.89, 3 Ce 2.93-2.99
Se 0.7302 0.7302 0.2264  2 Sc 2.78, 1 Pu 2.87, 3 Ce 2.92-2.98
Pu 0.0000 0.0000 0.0000  6 Se 2.87-2.89

Summary:
Magnetic moment ... 8.66 μB/f.u.
Total DFT energy (no corrections) ... -7.164 eV per atom
D(E_F) ... 2.133 states/eV per atom
Formation energy without anion corrections ... -1688 meV/atom